# K6Na2MnH24W6O36, relaxed, DFT GGA+U
data_K6Na2MnH24W6O36
_symmetry_space_group_name_H-M 'P 1'
_symmetry_Int_Tables_number 1
_cell_length_a 9.8437
_cell_length_b 9.8437
_cell_length_c 9.8437
_cell_angle_alpha 84.69
_cell_angle_beta 84.69
_cell_angle_gamma 84.69
loop_
_symmetry_equiv_pos_as_xyz
'x,y,z'
loop_
_atom_site_label
_atom_site_fract_x
_atom_site_fract_y
_atom_site_fract_z
K1 0.1664 0.1664 0.5986
K2 0.1664 0.5986 0.1664
K3 0.4014 0.8336 0.8336
K4 0.5986 0.1664 0.1664
K5 0.8336 0.4014 0.8336
K6 0.8336 0.8336 0.4014
Na1 0.2320 0.2320 0.2320
Na2 0.7680 0.7680 0.7680
Mn1 0.5000 0.5000 0.5000
H1 0.0228 0.4014 0.4014
H2 0.0226 0.6529 0.9032
H3 0.0226 0.9032 0.6529
H4 0.0968 0.3471 0.9774
H5 0.0968 0.9774 0.3471
H6 0.1522 0.4552 0.4552
H7 0.3471 0.0968 0.9774
H8 0.3471 0.9774 0.0968
H9 0.4014 0.0228 0.4014
H10 0.4014 0.4014 0.0228
H11 0.4552 0.1522 0.4552
H12 0.4552 0.4552 0.1522
H13 0.5448 0.5448 0.8478
H14 0.5448 0.8478 0.5448
H15 0.5986 0.5986 0.9772
H16 0.5986 0.9772 0.5986
H17 0.6529 0.0226 0.9032
H18 0.6529 0.9032 0.0226
H19 0.8478 0.5448 0.5448
H20 0.9032 0.0226 0.6529
H21 0.9032 0.6529 0.0226
H22 0.9774 0.0968 0.3471
H23 0.9774 0.3471 0.0968
H24 0.9772 0.5986 0.5986
W1 0.2556 0.5000 0.7444
W2 0.2556 0.7444 0.5000
W3 0.5000 0.2556 0.7444
W4 0.5000 0.7444 0.2556
W5 0.7444 0.2556 0.5000
W6 0.7444 0.5000 0.2556
O1 0.0778 0.0778 0.3463
O2 0.0778 0.3463 0.0778
O3 0.1246 0.3926 0.3926
O4 0.1326 0.3752 0.7900
O5 0.1326 0.7900 0.3752
O6 0.1537 0.5893 0.5893
O7 0.2100 0.6248 0.8674
O8 0.2100 0.8674 0.6248
O9 0.3463 0.0778 0.0778
O10 0.3736 0.3736 0.5992
O11 0.3736 0.5992 0.3736
O12 0.3752 0.1326 0.7900
O13 0.3752 0.7900 0.1326
O14 0.3926 0.1246 0.3926
O15 0.3926 0.3926 0.1246
O16 0.4008 0.6264 0.6264
O17 0.4107 0.4107 0.8463
O18 0.4107 0.8463 0.4107
O19 0.5893 0.1537 0.5893
O20 0.5893 0.5893 0.1537
O21 0.5992 0.3736 0.3736
O22 0.6074 0.6074 0.8754
O23 0.6074 0.8754 0.6074
O24 0.6248 0.2100 0.8674
O25 0.6248 0.8674 0.2100
O26 0.6264 0.4008 0.6264
O27 0.6264 0.6264 0.4008
O28 0.6537 0.9222 0.9222
O29 0.7900 0.1326 0.3752
O30 0.7900 0.3752 0.1326
O31 0.8463 0.4107 0.4107
O32 0.8674 0.2100 0.6248
O33 0.8674 0.6248 0.2100
O34 0.8754 0.6074 0.6074
O35 0.9222 0.6537 0.9222
O36 0.9222 0.9222 0.6537
# Energy   -5.808 eV per atom